*1*
The following is a DFT calculation (GGA-PBEsol) of a geometry-optimized Cs2Se structure.

Summary:
Space group ... P6_3/mmc, No. 194
Magnetization ... 0.00 μB per cell
Calculated density ... 4.83 g/cm³
Crystal system ... hexagonal

Unit cell a=5.922 b=5.922 c=7.805 alpha=90.00 beta=90.00 gamma=120.00
Atoms (fractional coordinates):
Cs (0.000, 0.000, 0.000)
Cs (0.667, 0.333, 0.250)
Cs (0.000, 0.000, 0.500)
Cs (0.333, 0.667, 0.750)
Se (0.333, 0.667, 0.250)
Se (0.667, 0.333, 0.750)


*2*
The following is a DFT calculation (GGA-PBEsol) of a geometry-optimized Cs2Se structure.

Summary:
Space group ... P-3m1, No. 164
Magnetization ... 0.00 μB per cell
Calculated density ... 3.85 g/cm³
Crystal system ... trigonal

Unit cell a=5.426 b=5.426 c=5.829 alpha=90.00 beta=90.00 gamma=120.00
Atoms (fractional coordinates):
Se (0.000, 0.000, 0.000)
Cs (0.333, 0.667, 0.257)
Cs (0.667, 0.333, 0.743)


Stability summary: most stable *1*, least stable *2*.


*1*
The following is a DFT calculation (GGA-PBEsol) of a geometry-optimized CsSnSe3 structure.

Summary:
Space group ... P-1, No. 2
Magnetization ... 0.00 μB per cell
Calculated density ... 4.70 g/cm³
Crystal system ... triclinic

Unit cell a=7.093 b=8.010 c=7.440 alpha=99.63 beta=106.55 gamma=115.37
Atoms (fractional coordinates):
Cs (0.776, 0.154, 0.805)
Cs (0.224, 0.846, 0.195)
Se (0.231, 0.732, 0.699)
Se (0.660, 0.567, 0.783)
Se (0.810, 0.873, 0.387)
Se (0.340, 0.433, 0.217)
Se (0.769, 0.268, 0.301)
Se (0.190, 0.127, 0.613)
Sn (0.779, 0.572, 0.491)
Sn (0.221, 0.428, 0.509)


*2*
The following is a DFT calculation (GGA-PBEsol) of a geometry-optimized CsSnSe3 structure.

Summary:
Space group ... Pm-3m, No. 221
Magnetization ... 0.00 μB per cell
Calculated density ... 4.64 g/cm³
Crystal system ... cubic

Unit cell a=5.591 b=5.591 c=5.591 alpha=90.00 beta=90.00 gamma=90.00
Atoms (fractional coordinates):
Se (0.000, 0.000, 0.500)
Se (0.500, 0.000, 0.000)
Se (0.000, 0.500, 0.000)
Cs (0.000, 0.000, 0.000)
Sn (0.500, 0.500, 0.500)


*3*
The following is a DFT calculation (GGA-PBEsol) of a geometry-optimized CsSnSe3 structure.

Summary:
Space group ... Pm-3m, No. 221
Magnetization ... 0.00 μB per cell
Calculated density ... 5.26 g/cm³
Crystal system ... cubic

Unit cell a=5.362 b=5.362 c=5.362 alpha=90.00 beta=90.00 gamma=90.00
Atoms (fractional coordinates):
Se (0.000, 0.000, 0.500)
Se (0.000, 0.500, 0.000)
Se (0.500, 0.000, 0.000)
Sn (0.000, 0.000, 0.000)
Cs (0.500, 0.500, 0.500)


Stability summary: most stable *1*, least stable *2*.